Entry 1:
## BaEuHo (PBE-GGA)

Data for BaEuHo after structural relaxation.

The crystal system is tetragonal. The polymorph energy (0 for the lowest one) comes out at 0.36 kJ per mole of atoms.

Cell: 3.914 3.914 8.841 Å, 102.79 102.79 90.00°
Last column: magnetic moment on the atom in μB.
Atoms (fractional coordinates):
Ba 0.993 0.993 0.987  0.01
Eu 0.682 0.682 0.364  -7.01
Ho 0.325 0.325 0.649  -0.29

***

Entry 2:
## TeBr (PBE-GGA)

Data for TeBr after structural relaxation.

The crystal system is orthorhombic. For the formation energy (no corrections), the calculation gives -146 meV per atom.

Cell: 8.437 27.142 6.940 Å, 90.00 90.00 90.00°
Atoms (fractional coordinates):
Te 0.500 0.000 0.691
Te 0.000 0.000 0.809
Te 0.750 0.250 0.059
Te 0.250 0.250 0.941
Br 0.750 0.431 0.750
Te 0.000 0.500 0.309
Br 0.000 0.819 0.500
Te 0.500 0.000 0.309
Te 0.000 0.500 0.691
Br 0.250 0.069 0.250
Te 0.750 0.750 0.559
Br 0.750 0.931 0.250
Br 0.500 0.681 0.500
Te 0.250 0.750 0.441
Br 0.500 0.181 0.000
Br 0.500 0.319 0.500
Te 0.750 0.250 0.441
Te 0.750 0.750 0.941
Te 0.500 0.500 0.809
Br 0.750 0.069 0.750
Te 0.250 0.250 0.559
Te 0.250 0.750 0.059
Br 0.750 0.569 0.250
Br 0.500 0.819 0.000
Br 0.250 0.931 0.750
Te 0.000 0.000 0.191
Br 0.000 0.181 0.500
Br 0.000 0.681 0.000
Br 0.250 0.431 0.250
Te 0.500 0.500 0.191
Br 0.250 0.569 0.750
Br 0.000 0.319 0.000

***

Entry 3:
## TmTiTe (PBE-GGA)

Data for TmTiTe after structural relaxation.

The crystal system is hexagonal. The polymorph energy (0 for the lowest one) comes out at 21.26 kJ per mole of atoms. For the formation energy (no corrections), the calculation gives -305 meV per atom.

Cell: 3.726 4.715 4.715 Å, 120.00 90.00 90.00°
Atoms (fractional coordinates):
Tm 0.667 0.667 0.333
Te 0.166 0.333 0.667
Ti 0.167 0.000 0.000

***

Entry 4:
## YMg2Se (PBE-GGA)

Data for YMg2Se after structural relaxation.

The crystal system is trigonal. For the formation energy (no corrections), the calculation gives -436 meV per atom.

Cell: 9.087 9.087 9.087 Å, 23.71 23.71 23.71°
Last column: magnetic moment on the atom in μB.
Atoms (fractional coordinates):
Se 0.250 0.250 0.250  0.01
Mg 0.521 0.521 0.521  0.00
Y 0.750 0.750 0.750  0.29
Mg 0.979 0.979 0.979  0.00

***

Entry 5:
## GaBiPb (PBE-GGA)

Data for GaBiPb after structural relaxation.

The crystal system is trigonal. The polymorph energy (0 for the lowest one) comes out at 2.76 kJ per mole of atoms.

Cell: 3.365 5.433 5.433 Å, 120.00 90.00 90.00°
Atoms (fractional coordinates):
Pb 0.622 0.667 0.333
Bi 0.282 0.333 0.667
Ga 0.096 0.000 0.000

***

Entry 6:
## InPdAu2 (PBE-GGA)

Data for InPdAu2 after structural relaxation.

The crystal system is tetragonal. The value obtained for the raw total energy is -3.716 eV/atom.

Cell: 7.588 7.588 6.029 Å, 51.00 51.00 90.00°
Atoms (fractional coordinates):
Au 0.620 0.125 0.250
In 0.000 0.000 0.000
Au 0.875 0.870 0.750
Au 0.130 0.625 0.250
Au 0.375 0.380 0.750
Pd 0.250 0.750 0.500
Pd 0.500 0.500 0.000
In 0.750 0.250 0.500

***

no.,ρ (kg/m³)
1,5863
2,3469
3,7972
4,3373
5,9383
6,12905